Material: LuZn
Method: DFT, meta-GGA SCAN
State: single point on PBEsol structure

Structure (POSCAR):
```
LuZn
1.0
3.430 0.000 0.000
0.000 3.430 0.000
0.000 0.000 3.430
Zn Lu
1 1
direct
0.500 0.500 0.500
0.000 0.000 0.000
```

Output
VASP energy: -34.877 eV/atom

Material: LuZr
Method: DFT, meta-GGA SCAN
State: single point on PBEsol structure

Structure (POSCAR):
```
LuZr
1.0
-2.404 -1.514 -1.712
3.164 -0.892 -0.442
-0.466 -3.523 3.770
Zr Lu
1 1
direct
0.333 0.667 0.000
0.000 0.000 0.500
```

Output
VASP energy: -42.991 eV/atom

Material: LuZr3
Method: DFT, meta-GGA SCAN
State: single point on PBEsol structure

Structure (POSCAR):
```
LuZr3
1.0
-0.151 2.811 4.282
-1.921 -5.214 3.356
6.328 1.303 -0.632
Lu Zr
2 6
direct
0.250 0.667 0.333
0.750 0.333 0.667
0.750 0.327 0.164
0.250 0.164 0.836
0.750 0.836 0.673
0.750 0.836 0.164
0.250 0.673 0.836
0.250 0.164 0.327
```

Output
VASP energy: -36.858 eV/atom

Material: MgMn3
Method: DFT, meta-GGA SCAN
State: single point on PBEsol structure

Structure (POSCAR):
```
MgMn3
1.0
2.854 0.000 0.000
0.000 2.854 0.000
0.000 0.000 6.148
Mg Mn
1 3
direct
0.000 0.000 0.000
0.000 0.000 0.500
0.500 0.500 0.292
0.500 0.500 0.708
```

Output
VASP energy: -14.828 eV/atom

Material: Mg3Mn2
Method: DFT, meta-GGA SCAN
State: single point on PBEsol structure

Structure (POSCAR):
```
Mg3Mn2
1.0
4.506 0.000 0.000
-2.253 3.903 0.000
0.000 0.000 5.586
Mg Mn
3 2
direct
0.333 0.667 0.353
0.667 0.333 0.647
0.000 0.000 0.000
0.333 0.667 0.877
0.667 0.333 0.123
```

Output
VASP energy: -10.126 eV/atom

Material: Mg2Mn
Method: DFT, meta-GGA SCAN
State: single point on PBEsol structure

Structure (POSCAR):
```
Mg2Mn
1.0
-2.139 -0.835 1.697
1.106 -4.513 -0.826
1.979 2.290 3.621
Mg Mn
2 1
direct
0.000 0.333 0.667
0.000 0.667 0.333
0.500 0.000 0.000
```

Output
VASP energy: -9.330 eV/atom

Material: MgMn
Method: DFT, meta-GGA SCAN
State: single point on PBEsol structure

Structure (POSCAR):
```
MgMn
1.0
-0.421 -3.348 2.846
0.233 -4.166 -1.443
3.501 -2.493 1.009
Mn Mg
1 1
direct
0.250 0.250 0.250
0.000 0.000 0.000
```

Output
VASP energy: -10.387 eV/atom

Material: MgMn4
Method: DFT, meta-GGA SCAN
State: single point on PBEsol structure

Structure (POSCAR):
```
MgMn4
1.0
-0.270 2.323 -3.018
-3.498 1.045 1.118
3.638 1.628 3.341
Mn Mg
4 1
direct
0.250 0.750 0.500
0.379 0.379 0.758
0.750 0.250 0.500
0.621 0.621 0.242
0.000 0.000 0.000
```

Output
VASP energy: -15.377 eV/atom

Material: Mg2MnMo
Method: DFT, meta-GGA SCAN
State: single point on PBEsol structure

Structure (POSCAR):
```
Mg2MnMo
1.0
2.737 0.000 0.000
0.000 4.940 -0.015
-1.368 -0.722 4.774
Mg Mo Mn
2 1 1
direct
0.754 0.750 0.507
0.246 0.250 0.493
0.000 0.500 0.000
0.500 0.000 0.000
```

Output
VASP energy: -15.473 eV/atom
ΔE to the lowest computed polymorph: 47 meV/atom

Material: Mg2MnMo
Method: DFT, meta-GGA SCAN
State: single point on PBEsol structure

Structure (POSCAR):
```
Mg2MnMo
1.0
-2.177 -3.267 2.012
2.011 -3.853 0.756
1.074 -1.157 4.119
Mg Mn Mo
2 1 1
direct
0.250 0.250 0.250
0.000 0.000 0.000
0.500 0.500 0.500
0.750 0.750 0.750
```

Output
VASP energy: -15.520 eV/atom
ΔE to the lowest computed polymorph: 0 meV/atom

Material: MgMn4Mo
Method: DFT, meta-GGA SCAN
State: single point on PBEsol structure

Structure (POSCAR):
```
MgMn4Mo
1.0
-0.870 4.603 -0.362
-2.852 2.102 3.087
1.763 2.981 3.176
Mn Mo Mg
4 1 1
direct
0.375 0.375 0.876
0.375 0.375 0.375
0.876 0.375 0.375
0.375 0.876 0.375
0.750 0.750 0.750
0.000 0.000 0.000
```

Output
VASP energy: -18.705 eV/atom

Material: MgMn2Mo
Method: DFT, meta-GGA SCAN
State: single point on PBEsol structure

Structure (POSCAR):
```
MgMn2Mo
1.0
-2.551 2.459 -0.476
-2.330 -2.579 -0.837
1.351 -0.280 4.738
Mn Mo Mg
2 1 1
direct
0.000 0.000 0.000
0.750 0.250 0.500
0.500 0.500 0.000
0.250 0.750 0.500
```

Output
VASP energy: -18.826 eV/atom

Material: MgMn2Mo
Method: DFT, meta-GGA SCAN
State: single point on PBEsol structure

Structure (POSCAR):
```
MgMn2Mo
1.0
-0.315 2.526 -0.670
-2.902 -0.842 3.363
3.805 1.324 3.200
Mg Mn Mo
1 2 1
direct
0.500 0.000 0.000
0.248 0.495 0.277
0.752 0.505 0.723
0.000 0.000 0.500
```

Output
VASP energy: -18.855 eV/atom

Material: Mg2MnMo
Method: DFT, meta-GGA SCAN
State: single point on PBEsol structure

Structure (POSCAR):
```
Mg2MnMo
1.0
2.733 0.000 0.000
-1.366 4.450 0.007
0.000 -0.481 5.303
Mn Mo Mg
1 1 2
direct
0.500 0.001 0.462
0.753 0.505 0.283
0.245 0.490 0.749
0.002 0.004 0.005
```

Output
VASP energy: -15.482 eV/atom
ΔE to the lowest computed polymorph: 38 meV/atom

Material: MgMn2MoPt
Method: DFT, meta-GGA SCAN
State: single point on PBEsol structure

Structure (POSCAR):
```
MgMn2MoPt
1.0
4.762 0.000 0.000
0.000 4.762 0.000
0.000 0.000 4.780
Mn Mg Pt Mo
2 1 1 1
direct
0.000 0.500 0.000
0.500 0.000 0.000
0.000 0.000 0.500
0.000 0.000 0.000
0.500 0.500 0.500
```

Output
VASP energy: -28.599 eV/atom

Material: MgMnN2
Method: DFT, meta-GGA SCAN
State: single point on PBEsol structure

Structure (POSCAR):
```
MgMnN2
1.0
2.922 0.000 0.000
1.461 2.531 0.000
1.461 0.844 4.866
N Mn Mg
2 1 1
direct
0.240 0.240 0.279
0.760 0.760 0.721
0.500 0.500 0.500
0.000 0.000 0.000
```

Output
Formation energy (no corrections): -0.95 eV/atom
VASP energy: -11.405 eV/atom

Material: Mg4MnN4
Method: DFT, meta-GGA SCAN
State: single point on PBEsol structure

Structure (POSCAR):
```
Mg4MnN4
1.0
5.313 -0.008 0.016
1.886 4.993 0.008
0.634 2.364 7.712
N Mg Mn
8 8 2
direct
0.509 0.412 0.198
0.491 0.588 0.802
0.840 0.812 0.043
0.494 0.198 0.622
0.506 0.802 0.378
0.987 0.309 0.387
0.013 0.691 0.613
0.160 0.188 0.957
0.252 0.753 0.998
0.738 0.054 0.419
0.262 0.946 0.581
0.255 0.530 0.410
0.745 0.470 0.590
0.266 0.173 0.202
0.734 0.827 0.798
0.748 0.247 0.002
0.275 0.393 0.769
0.725 0.607 0.231
```

Output
Formation energy (no corrections): -0.83 eV/atom
VASP energy: -9.203 eV/atom

Material: Mg3MnN
Method: DFT, meta-GGA SCAN
State: single point on PBEsol structure

Structure (POSCAR):
```
Mg3MnN
1.0
5.030 0.000 0.000
0.000 5.030 0.000
0.000 0.000 5.030
Mn Mg N
1 3 1
direct
0.000 0.000 0.000
0.000 0.500 0.000
0.000 0.000 0.500
0.500 0.000 0.000
0.500 0.500 0.500
```

Output
Formation energy (no corrections): 1.45 eV/atom
VASP energy: -7.040 eV/atom

Material: Mg2MnN3
Method: DFT, meta-GGA SCAN
State: single point on PBEsol structure

Structure (POSCAR):
```
Mg2MnN3
1.0
4.519 0.000 0.000
0.000 5.869 -0.022
0.000 2.872 5.118
N Mg Mn
6 4 2
direct
0.127 0.625 0.375
0.627 0.375 0.625
0.076 0.037 0.668
0.576 0.668 0.037
0.076 0.332 0.963
0.576 0.963 0.332
0.560 0.331 0.997
0.060 0.669 0.003
0.560 0.003 0.669
0.060 0.997 0.331
0.027 0.335 0.665
0.527 0.665 0.335
```

Output
Formation energy (no corrections): -0.80 eV/atom
VASP energy: -10.150 eV/atom

Material: MgMnSeN2
Method: DFT, meta-GGA SCAN
State: single point on PBEsol structure

Structure (POSCAR):
```
MgMnSeN2
1.0
-2.032 2.949 0.400
-2.487 -1.949 1.734
2.355 1.011 4.515
Se N Mg Mn
1 2 1 1
direct
0.000 0.000 0.500
0.000 0.500 0.000
0.500 0.000 0.000
0.500 0.500 0.500
0.000 0.000 0.000
```

Output
Formation energy (no corrections): 0.06 eV/atom
VASP energy: -12.319 eV/atom

Material: MgMnTcN2
Method: DFT, meta-GGA SCAN
State: single point on PBEsol structure

Structure (POSCAR):
```
MgMnTcN2
1.0
3.836 0.000 0.000
0.000 3.836 0.000
0.000 0.000 4.551
Mg Tc Mn N
1 1 1 2
direct
0.000 0.000 0.000
0.500 0.500 0.500
0.000 0.000 0.500
0.000 0.500 0.000
0.500 0.000 0.000
```

Output
Formation energy (no corrections): 1.69 eV/atom
VASP energy: -13.681 eV/atom

Material: NaMg30MnO32
Method: DFT, meta-GGA SCAN
State: single point on PBEsol structure

Structure (POSCAR):
```
NaMg30MnO32
1.0
8.433 0.000 0.000
0.000 8.433 0.000
0.000 0.000 8.505
Mg O Na Mn
30 32 1 1
direct
0.500 0.500 0.500
0.254 0.254 0.000
0.000 0.500 0.000
0.500 0.000 0.500
0.000 0.250 0.747
0.500 0.748 0.249
0.500 0.748 0.751
0.500 0.000 0.000
0.500 0.252 0.751
0.750 0.000 0.747
0.252 0.500 0.249
0.000 0.000 0.500
0.252 0.500 0.751
0.250 0.000 0.747
0.251 0.749 0.500
0.748 0.500 0.249
0.749 0.749 0.500
0.746 0.746 0.000
0.254 0.746 0.000
0.000 0.750 0.253
0.749 0.251 0.500
0.500 0.252 0.249
0.251 0.251 0.500
0.750 0.000 0.253
0.746 0.254 0.000
0.748 0.500 0.751
0.000 0.750 0.747
0.000 0.250 0.253
0.250 0.000 0.253
0.000 0.500 0.500
0.750 0.000 0.500
0.249 0.751 0.751
0.234 0.000 0.000
0.249 0.249 0.751
0.500 0.765 0.000
0.500 0.500 0.262
0.000 0.234 0.000
0.765 0.500 0.000
0.500 0.500 0.738
0.000 0.000 0.257
0.500 0.753 0.500
0.500 0.247 0.500
0.000 0.000 0.743
0.751 0.751 0.751
0.500 0.235 0.000
0.751 0.249 0.249
0.247 0.500 0.500
0.753 0.500 0.500
0.000 0.766 0.000
0.000 0.500 0.249
0.000 0.750 0.500
0.751 0.751 0.249
0.500 0.000 0.249
0.500 0.000 0.751
0.751 0.249 0.751
0.000 0.500 0.751
0.249 0.249 0.249
0.250 0.000 0.500
0.766 0.000 0.000
0.000 0.250 0.500
0.235 0.500 0.000
0.249 0.751 0.249
0.500 0.500 0.000
0.000 0.000 0.000
```

Output
Formation energy (no corrections): -2.94 eV/atom
VASP energy: -8.739 eV/atom

Material: NaMg14MnO16
Method: DFT, meta-GGA SCAN
State: single point on PBEsol structure

Structure (POSCAR):
```
NaMg14MnO16
1.0
4.254 0.000 0.000
0.000 8.412 0.000
0.000 0.000 8.499
Mg O Mn Na
14 16 1 1
direct
0.000 0.746 0.252
0.500 0.256 0.000
0.500 0.500 0.753
0.000 0.500 0.500
0.500 0.500 0.247
0.500 0.744 0.000
0.000 0.746 0.748
0.500 0.000 0.749
0.500 0.000 0.251
0.000 0.000 0.500
0.500 0.252 0.500
0.000 0.254 0.748
0.000 0.254 0.252
0.500 0.748 0.500
0.500 0.752 0.751
0.500 0.248 0.249
0.500 0.500 0.500
0.500 0.500 0.000
0.000 0.000 0.752
0.000 0.754 0.500
0.000 0.775 0.000
0.000 0.246 0.500
0.000 0.500 0.263
0.500 0.752 0.249
0.500 0.000 0.500
0.000 0.500 0.737
0.500 0.000 0.000
0.000 0.000 0.248
0.000 0.225 0.000
0.500 0.248 0.751
0.000 0.000 0.000
0.000 0.500 0.000
```

Output
Formation energy (no corrections): -2.87 eV/atom
VASP energy: -8.868 eV/atom

Material: NaMgMnP2
Method: DFT, meta-GGA SCAN
State: single point on PBEsol structure

Structure (POSCAR):
```
NaMgMnP2
1.0
-1.433 -4.668 -0.438
4.417 -1.475 1.264
-1.335 -0.025 4.637
Mn Mg P Na
1 1 2 1
direct
0.500 0.000 0.000
0.000 0.000 0.000
0.000 0.000 0.500
0.000 0.500 0.000
0.500 0.500 0.500
```

Output
VASP energy: -9.108 eV/atom

Magnetization across the listed records, respectively: 0.00; 0.09; 0.00; 3.44; 7.85; 3.85; 4.61; 1.10; 3.08; 1.20; 3.90; 4.05; 6.14; 2.71; 13.30; 3.00; 3.00; 6.14; 2.00; 0.16; 3.31; 4.00; 4.00; 4.96 μB/f.u..